This record from Alexandria via LeMat-Bulk describes crystalline V4Mo2Rh at its relaxed geometry. The functional is PBE-GGA.

* DFT formation energy: 3.7 kJ/mol of atoms
* polymorph energy (0 for the lowest one): 0 meV/atom
* final energy: -9.317 eV per atom
* crystal system: orthorhombic

The structure in POSCAR format:
```
V4Mo2Rh
1.0
2.9951 0.0000 0.0000
0.0000 22.6521 0.0000
0.0000 0.0000 2.9910
V Mo Rh
8 4 2
Cartesian
0.0000 1.5926 0.0000
0.0000 8.2957 1.4955
0.0000 14.3564 1.4955
0.0000 21.0595 0.0000
1.4976 3.0303 1.4955
1.4976 9.7334 0.0000
1.4976 12.9187 0.0000
1.4976 19.6218 1.4955
0.0000 4.5838 0.0000
0.0000 18.0683 0.0000
1.4976 6.7423 0.0000
1.4976 15.9099 0.0000
0.0000 11.3261 1.4955
1.4976 0.0000 1.4955
```

This record from Alexandria via LeMat-Bulk describes crystalline YCo3As at its relaxed geometry. The functional is PBE-GGA.

* DFT formation energy: 3.8 kJ/mol of atoms
* polymorph energy (0 for the lowest one): 0 meV/atom
* final energy: -6.447 eV per atom
* crystal system: cubic

The structure in POSCAR format:
```
YCo3As
1.0
4.3924 0.0000 0.0000
0.0000 4.3924 0.0000
0.0000 0.0000 4.3924
Y Co As
1 3 1
Cartesian
0.0000 0.0000 0.0000
0.0000 2.1962 2.1962
2.1962 0.0000 2.1962
2.1962 2.1962 0.0000
2.1962 2.1962 2.1962
```

This record from Alexandria via LeMat-Bulk describes crystalline CaReW2 at its relaxed geometry. The functional is PBE-GGA.

* DFT formation energy: 74.4 kJ/mol of atoms
* polymorph energy (0 for the lowest one): 265 meV/atom
* final energy: -9.318 eV per atom
* crystal system: cubic

The structure in POSCAR format:
```
CaReW2
1.0
6.4952 0.0000 0.0000
0.0000 6.4952 0.0000
0.0000 0.0000 6.4952
Ca Re W
4 4 8
Cartesian
0.0000 0.0000 0.0000
0.0000 3.2476 3.2476
3.2476 0.0000 3.2476
3.2476 3.2476 0.0000
0.0000 0.0000 3.2476
0.0000 3.2476 0.0000
3.2476 0.0000 0.0000
3.2476 3.2476 3.2476
1.6238 1.6238 1.6238
1.6238 1.6238 4.8714
1.6238 4.8714 1.6238
1.6238 4.8714 4.8714
4.8714 1.6238 1.6238
4.8714 1.6238 4.8714
4.8714 4.8714 1.6238
4.8714 4.8714 4.8714
```

This record from Alexandria via LeMat-Bulk describes crystalline HfHPd2 at its relaxed geometry. The functional is PBE-GGA.

* polymorph energy (0 for the lowest one): 335 meV/atom
* final energy: -5.946 eV per atom
* crystal system: trigonal

The structure in POSCAR format:
```
HfHPd2
1.0
2.9498 0.0000 0.0000
-1.4749 2.5546 0.0000
0.0000 0.0000 22.6185
Hf H Pd
3 3 6
Cartesian
0.0000 0.0000 0.0000
0.0000 1.7030 15.0790
1.4749 0.8515 7.5395
0.0000 0.0000 11.3092
0.0000 1.7030 3.7698
1.4749 0.8515 18.8487
0.0000 0.0000 2.5703
0.0000 0.0000 20.0481
0.0000 1.7030 12.5086
0.0000 1.7030 17.6493
1.4749 0.8515 4.9692
1.4749 0.8515 10.1098
```